Record 1
## CsRbAgRh2 (PBEsol)

Data for a geometry-optimized CsRbAgRh2 structure.

The structure in POSCAR format:
```
CsRbAgRh2
1.0
4.9216 0.0000 0.0000
0.0000 4.9216 0.0000
0.0000 0.0000 5.9809
Cs Rb Ag Rh
1 1 1 2
direct
0.0000 0.0000 0.0000
0.0000 0.0000 0.5000
0.5000 0.5000 0.0000
0.0000 0.5000 0.5000
0.5000 0.0000 0.5000
```

Output
symmetry: P4/mmm (123)

***

Record 2
## Cs2RbAgSe (PBEsol)

Data for a geometry-optimized Cs2RbAgSe structure.

The structure in POSCAR format:
```
Cs2RbAgSe
1.0
6.8939 0.0000 0.0000
0.0000 6.8939 0.0000
0.0000 0.0000 5.5568
Cs Rb Ag Se
2 1 1 1
direct
0.0000 0.5000 0.0000
0.5000 0.0000 0.0000
0.0000 0.0000 0.0000
0.0000 0.0000 0.5000
0.5000 0.5000 0.5000
```

Output
symmetry: P4/mmm (123)

***

Record 3
## Cs3AgRh (PBEsol)

Data for a geometry-optimized Cs3AgRh structure.

The structure in POSCAR format:
```
Cs3AgRh
1.0
5.9125 0.0000 0.0000
0.0000 5.9125 0.0000
0.0000 0.0000 5.9125
Cs Ag Rh
3 1 1
direct
0.0000 0.0000 0.5000
0.0000 0.5000 0.0000
0.5000 0.0000 0.0000
0.5000 0.5000 0.5000
0.0000 0.0000 0.0000
```

Output
symmetry: Pm-3m (221)

***

Record 4
## Cs2AgRhS (PBEsol)

Data for a geometry-optimized Cs2AgRhS structure.

The structure in POSCAR format:
```
Cs2AgRhS
1.0
6.5909 0.0000 0.0000
0.0000 6.5909 0.0000
0.0000 0.0000 4.4674
Cs Ag Rh S
2 1 1 1
direct
0.0000 0.5000 0.0000
0.5000 0.0000 0.0000
0.0000 0.0000 0.0000
0.5000 0.5000 0.5000
0.0000 0.0000 0.5000
```

Output
symmetry: P4/mmm (123)

***

no.,total magnetic moment (μB/f.u.),raw total energy (eV per cell)
1,0.001,-12.36
2,0.000,-8.77
3,0.000,-11.79
4,1.722,-14.90